EuYTmMg: optimized geometry, GGA-PBE.

Cell: 5.5887 5.5887 5.5887 Å, 60.00 60.00 60.00°
Closest atoms and distances in Å follow each position.
Fractional coordinates of all 4 atoms:
1 Y 0.7500 0.7500 0.7500  4 Mg 3.42, 4 Tm 3.42
2 Eu 0.2500 0.2500 0.2500  4 Mg 3.42, 4 Tm 3.42
3 Tm 0.5000 0.5000 0.5000  4 Eu 3.42, 4 Y 3.42
4 Mg 0.0000 0.0000 0.0000  4 Y 3.42, 4 Eu 3.42

Results
The formation energy comes out at 0.067 eV per atom.